The following is a DFT calculation (PBE with a Hubbard U) of BMo2O after structural relaxation.

Properties
total magnetic moment	3.65	μB/f.u.
Fermi-level density of states	0.51	states/eV per atom
energy relative to the lowest polymorph listed for this composition	0.000	eV per formula unit

a = 4.920 Å, b = 4.920 Å, c = 6.005 Å
α = 65.82°, β = 65.82°, γ = 90.00°
Last column: magnetic moment on the atom in μB.
Fractional positions:
Mo: 0.635 0.125 0.250  1.89
Mo: 0.115 0.625 0.250  1.89
Mo: 0.875 0.885 0.750  1.94
Mo: 0.375 0.365 0.750  1.93
B: 0.500 0.500 0.000  -0.20
B: 0.250 0.750 0.500  -0.20
O: 0.750 0.250 0.500  -0.02
O: 0.000 0.000 0.000  -0.02